The following is a DFT calculation (PBE-GGA) of SrTa2MnB after structural relaxation.

abc: 4.951 4.078 4.951
angles: 90.00 90.00 90.00
Fractional positions:
Sr1 0.000 0.000 0.000
Ta1 0.000 0.000 0.500
Ta2 0.500 0.000 0.000
Mn1 0.500 0.500 0.500
B1 0.000 0.500 0.000

Properties
spin magnetization	0.00	μB per cell
energy of formation	3467	meV per atom
space-group type	P4/mmm, No. 123

***

The following is a DFT calculation (PBE-GGA) of TbPdRh4 after structural relaxation.

abc: 5.228 5.228 5.228
angles: 60.00 60.00 60.00
Each line ends with the local moment (μB).
Fractional positions:
Rh1 0.625 0.625 0.625  0.26
Rh2 0.625 0.625 0.126  0.26
Rh3 0.126 0.625 0.625  0.26
Rh4 0.625 0.126 0.625  0.26
Pd1 0.250 0.250 0.250  0.17
Tb1 0.000 0.000 0.000  -0.03

Properties
spin magnetization	1.17	μB per cell
energy of formation	-289	meV per atom
space-group type	F-43m, No. 216

***

The following is a DFT calculation (PBE-GGA) of HfMo3Se after structural relaxation.

abc: 4.610 4.610 4.610
angles: 90.00 90.00 90.00
Each line ends with the local moment (μB).
Fractional positions:
Hf1 0.500 0.500 0.500  0.10
Mo1 0.500 0.000 0.000  0.25
Mo2 0.000 0.500 0.000  0.40
Mo3 0.000 0.000 0.500  0.47
Se1 0.000 0.000 0.000  -0.01

Properties
polymorph energy (0 for the lowest one)	0.0000	eV per atom
spin magnetization	1.39	μB per cell
space-group type	Pm-3m, No. 221
raw formation energy	0.76	eV/atom

***

The following is a DFT calculation (PBE-GGA) of BeSiAu2 after structural relaxation.

abc: 2.791 2.791 8.007
angles: 90.00 90.00 90.00
Fractional positions:
Si1 0.500 0.500 0.750
Au1 0.000 0.000 0.052
Au2 0.000 0.000 0.448
Be1 0.500 0.500 0.250

Properties
spin magnetization	0.00	μB per cell
space-group type	P4/mmm, No. 123
raw formation energy	0.12	eV/atom

***

The following is a DFT calculation (PBE-GGA) of CeErZnTc after structural relaxation.

abc: 4.938 4.938 4.938
angles: 60.00 60.00 60.00
Fractional positions:
Er1 0.250 0.250 0.250
Zn1 0.000 0.000 0.000
Ce1 0.750 0.750 0.750
Tc1 0.500 0.500 0.500

Properties
spin magnetization	0.00	μB per cell
energy of formation	-142	meV per atom
space-group type	F-43m, No. 216

***

The following is a DFT calculation (PBE-GGA) of Er3RuI3 after structural relaxation.

abc: 4.212 8.810 12.302
angles: 86.25 90.00 90.00
Fractional positions:
Er1 0.750 0.136 0.626
Er2 0.250 0.903 0.810
Er3 0.250 0.253 0.399
Er4 0.250 0.864 0.374
Er5 0.750 0.747 0.601
Er6 0.750 0.097 0.190
I1 0.750 0.141 0.892
I2 0.750 0.572 0.367
I3 0.250 0.350 0.138
I4 0.250 0.859 0.108
I5 0.750 0.650 0.862
I6 0.250 0.428 0.633
Ru1 0.250 0.951 0.590
Ru2 0.750 0.049 0.410

Properties
spin magnetization	0.00	μB per cell
space-group type	P2_1/m, No. 11
raw formation energy	-0.99	eV/atom

***

The following is a DFT calculation (PBE-GGA) of Na4Sr5Li after structural relaxation.

abc: 4.455 4.455 22.220
angles: 90.00 90.00 90.00
Fractional positions:
Sr1 0.500 0.500 0.703
Sr2 0.500 0.500 0.500
Sr3 0.500 0.500 0.091
Sr4 0.500 0.500 0.909
Sr5 0.500 0.500 0.297
Na1 0.000 0.000 0.194
Na2 0.000 0.000 0.806
Na3 0.000 0.000 0.601
Na4 0.000 0.000 0.399
Li1 0.000 0.000 0.000

Properties
spin magnetization	0.00	μB per cell
energy of formation	26	meV per atom
space-group type	P4/mmm, No. 123

***

The following is a DFT calculation (PBE-GGA) of HgGeRh3 after structural relaxation.

abc: 4.561 4.561 4.561
angles: 90.00 90.00 90.00
Each line ends with the local moment (μB).
Fractional positions:
Rh1 0.000 0.500 0.000  0.29
Rh2 0.000 0.000 0.500  0.39
Rh3 0.500 0.000 0.000  0.21
Hg1 0.500 0.500 0.500  -0.01
Ge1 0.000 0.000 0.000  -0.02

Properties
polymorph energy (0 for the lowest one)	0.0000	eV per atom
spin magnetization	0.84	μB per cell
energy of formation	410	meV per atom
space-group type	Pm-3m, No. 221

***

The following is a DFT calculation (PBE-GGA) of CsTbI3 after structural relaxation.

abc: 6.104 6.104 6.104
angles: 90.00 90.00 90.00
Fractional positions:
Tb1 0.000 0.000 0.000
I1 0.500 0.000 0.000
I2 0.000 0.000 0.500
I3 0.000 0.500 0.000
Cs1 0.500 0.500 0.500

Properties
polymorph energy (0 for the lowest one)	0.0000	eV per atom
spin magnetization	0.00	μB per cell
space-group type	Pm-3m, No. 221
raw formation energy	-1.26	eV/atom

***

The following is a DFT calculation (PBE-GGA) of Pr7Tl3 after structural relaxation.

abc: 5.395 7.036 9.374
angles: 107.49 106.72 90.00
Fractional positions:
Pr1 0.196 0.176 0.393
Pr2 0.590 0.862 0.180
Pr3 0.804 0.824 0.607
Pr4 0.371 0.598 0.742
Pr5 0.000 0.500 0.000
Pr6 0.629 0.402 0.258
Pr7 0.410 0.138 0.820
Tl1 0.806 0.303 0.613
Tl2 0.000 0.000 0.000
Tl3 0.194 0.697 0.387

Properties
spin magnetization	0.00	μB per cell
energy of formation	-236	meV per atom
space-group type	C2/m, No. 12

***

The following is a DFT calculation (PBE-GGA) of SrMn2N2 after structural relaxation.

abc: 3.862 3.862 5.861
angles: 70.76 70.76 90.00
Each line ends with the local moment (μB).
Fractional positions:
Sr1 0.000 0.000 0.000  -0.04
Mn1 0.287 0.287 0.426  2.86
Mn2 0.713 0.713 0.574  2.86
N1 0.250 0.750 0.500  0.06
N2 0.750 0.250 0.500  0.06

Properties
spin magnetization	6.03	μB per cell
space-group type	I4/mmm, No. 139
raw formation energy	-0.25	eV/atom

***

The following is a DFT calculation (PBE-GGA) of Co2AgBr6 after structural relaxation.

abc: 6.924 9.118 9.118
angles: 85.13 79.54 79.54
Each line ends with the local moment (μB).
Fractional positions:
Co1 0.706 0.621 0.785  2.47
Co2 0.794 0.215 0.379  2.47
Co3 0.206 0.785 0.621  2.47
Co4 0.294 0.379 0.215  2.47
Br1 0.876 0.394 0.866  0.23
Br2 0.124 0.606 0.134  0.23
Br3 0.907 0.715 0.569  0.24
Br4 0.632 0.803 0.965  0.20
Br5 0.407 0.569 0.715  0.24
Br6 0.624 0.134 0.606  0.23
Br7 0.868 0.035 0.197  0.20
Br8 0.093 0.285 0.431  0.24
Br9 0.368 0.197 0.035  0.20
Br10 0.593 0.431 0.285  0.24
Br11 0.132 0.965 0.803  0.20
Br12 0.376 0.866 0.394  0.23
Ag1 0.750 0.117 0.883  0.13
Ag2 0.250 0.883 0.117  0.13

Properties
spin magnetization	14.08	μB per cell
space-group type	C2/c, No. 15
raw formation energy	-0.28	eV/atom

***

Which value of spin magnetization does entry 12 give?
14.08 μB per cell

***

spin magnetization of number 7 (Na4Sr5Li)?
0.00 μB per cell